{
  "formula": "Tm2V2ZnRu5",
  "functional": "GGA-PBE",
  "state": "optimized geometry",
  "dos_at_fermi_per_ev_fu": 6.82,
  "dft_energy_ev_per_atom": -7.676,
  "rho_g_cm3": 10.166,
  "magmom_total_mub_per_fu": 0.0,
  "lattice_angstrom": [[3.205, 0.000, 0.000], [0.000, 10.149, 0.000], [0.000, 0.000, 10.149]],
  "species": ["Tm", "Tm", "Tm", "Tm", "V", "V", "V", "V", "Zn", "Zn", "Ru", "Ru", "Ru", "Ru", "Ru", "Ru", "Ru", "Ru", "Ru", "Ru"],
  "fractional_positions": [[0.000, 0.672, 0.172], [0.000, 0.328, 0.828], [0.000, 0.172, 0.328], [0.000, 0.828, 0.672], [0.000, 0.131, 0.631], [0.000, 0.869, 0.369], [0.000, 0.631, 0.869], [0.000, 0.369, 0.131], [0.000, 0.000, 0.000], [0.000, 0.500, 0.500], [0.500, 0.203, 0.066], [0.500, 0.797, 0.934], [0.500, 0.066, 0.797], [0.500, 0.703, 0.434], [0.500, 0.934, 0.203], [0.500, 0.297, 0.566], [0.500, 0.566, 0.703], [0.500, 0.434, 0.297], [0.500, 0.500, 0.000], [0.500, 0.000, 0.500]]
}